First-principles (PBE) data for a geometry-optimized CaZrNi2 structure, as listed in the Alexandria database.

Properties
Mass density in Mg/m³: 5.2
DFT formation energy in eV/atom: 0.019

Unit cell a=3.317 b=3.317 c=7.154 alpha=90.00 beta=90.00 gamma=90.00
Space group P4mm (No. 99)
Asymmetric unit:
Ca: 0.000 0.000 0.000 x1
Zr: 0.500 0.500 0.594 x1
Ni: 0.000 0.000 0.423 x1
Ni: 0.500 0.500 0.253 x1

First-principles (PBE) data for a geometry-optimized YZrIr structure, as listed in the Alexandria database.

Properties
Mass density in Mg/m³: 8.9
DFT formation energy in eV/atom: -0.590

Unit cell a=11.602 b=3.709 c=7.723 alpha=90.00 beta=123.21 gamma=90.00
Space group Cm (No. 8)
Asymmetric unit:
Y: 0.000 0.000 0.000 x2
Y: 0.244 0.000 0.548 x2
Zr: 0.170 0.500 0.849 x2
Zr: 0.416 0.000 0.299 x2
Ir: 0.216 0.500 0.233 x2
Ir: 0.487 0.500 0.607 x2

First-principles (PBE) data for a geometry-optimized LaTl2Ir structure, as listed in the Alexandria database.

Properties
Mass density in Mg/m³: 12.5
DFT formation energy in eV/atom: -0.073

Unit cell a=5.185 b=5.185 c=7.319 alpha=90.00 beta=90.00 gamma=90.00
Space group I-4m2 (No. 119)
Asymmetric unit:
La: 0.000 0.000 0.000 x2
Tl: 0.000 0.000 0.500 x2
Tl: 0.000 0.500 0.250 x2
Ir: 0.000 0.500 0.750 x2

First-principles (PBE) data for a geometry-optimized CsSrMo2Pt structure, as listed in the Alexandria database.

Properties
Mass density in Mg/m³: 7.2
DFT formation energy in eV/atom: 2.278

Unit cell a=5.120 b=5.120 c=5.343 alpha=90.00 beta=90.00 gamma=90.00
Space group P4/mmm (No. 123)
Asymmetric unit:
Cs: 0.000 0.000 0.000 x1
Sr: 0.500 0.500 0.500 x1
Mo: 0.000 0.500 0.000 x2
Pt: 0.000 0.000 0.500 x1

First-principles (PBE) data for a geometry-optimized Sm6DyHo8 structure, as listed in the Alexandria database.

Properties
Mass density in Mg/m³: 8.1
DFT formation energy in eV/atom: 0.123

Unit cell a=9.0604 b=9.0604 c=20.6943 alpha=90.00 beta=90.00 gamma=120.00
Space group R-3 (No. 148, hexagonal axes)
Asymmetric unit:
Sm: 0.0632 0.8150 0.2094 x18
Dy: 0.0000 0.0000 0.5000 x3
Ho: 0.0000 0.0000 0.0767 x6
Ho: 0.0811 0.5272 0.3076 x18

First-principles (PBE) data for a geometry-optimized ScTc2Pb structure, as listed in the Alexandria database.

Properties
Mass density in Mg/m³: 10.0
DFT formation energy in eV/atom: 0.457

Unit cell a=3.346 b=4.989 c=8.897 alpha=90.00 beta=90.00 gamma=90.00
Space group Cmmm (No. 65)
Asymmetric unit:
Sc: 0.000 0.000 0.000 x2
Tc: 0.000 0.500 0.241 x4
Pb: 0.000 0.000 0.500 x2

First-principles (PBE) data for a geometry-optimized Rb4Np3BiTe8 structure, as listed in the Alexandria database.

Properties
Mass density in Mg/m³: 6.0
E_form (uncorrected) in eV/atom: -0.8077

Unit cell a=9.2553 b=9.2553 c=25.5549 alpha=90.00 beta=90.00 gamma=120.00
Space group R-3m (No. 166, hexagonal axes)
Asymmetric unit:
Rb: 0.0000 0.0000 0.0000 x3
Rb: 0.0000 0.5000 0.0000 x9
Np: 0.0000 0.5000 0.5000 x9
Bi: 0.0000 0.0000 0.5000 x3
Te: 0.0000 0.0000 0.2330 x6
Te: 0.0034 0.5017 0.7662 x18

First-principles (PBE) data for a geometry-optimized ThZn2Pd structure, as listed in the Alexandria database.

Properties
Mass density in Mg/m³: 10.1
DFT formation energy in eV/atom: -0.346

Unit cell a=3.333 b=3.333 c=6.915 alpha=90.00 beta=90.00 gamma=90.00
Space group P4/mmm (No. 123)
Asymmetric unit:
Th: 0.000 0.000 0.000 x1
Zn: 0.500 0.500 0.311 x2
Pd: 0.000 0.000 0.500 x1

First-principles (PBE) data for a geometry-optimized K2FeOs structure, as listed in the Alexandria database.

Properties
Mass density in Mg/m³: 6.4
DFT formation energy in eV/atom: 1.461

Unit cell a=3.888 b=3.888 c=11.138 alpha=90.00 beta=90.00 gamma=90.00
Space group I4/mmm (No. 139)
Asymmetric unit:
K: 0.000 0.500 0.250 x4
Fe: 0.000 0.000 0.000 x2
Os: 0.000 0.000 0.500 x2

First-principles (PBE) data for a geometry-optimized CsV2Cu2 structure, as listed in the Alexandria database.

Properties
Mass density in Mg/m³: 5.5
DFT formation energy in eV/atom: 0.746

Unit cell a=3.539 b=3.539 c=17.437 alpha=90.00 beta=90.00 gamma=90.00
Space group I4/mmm (No. 139)
Asymmetric unit:
Cs: 0.000 0.000 0.000 x2
V: 0.000 0.500 0.250 x4
Cu: 0.000 0.000 0.355 x4

First-principles (PBE) data for a geometry-optimized SiTeMo structure, as listed in the Alexandria database.

Properties
Mass density in Mg/m³: 6.4
E_form (uncorrected) in eV/atom: 0.2136

Unit cell a=3.459 b=3.459 c=5.456 alpha=90.00 beta=90.00 gamma=90.00
Space group P4/mmm (No. 123)
Asymmetric unit:
Si: 0.000 0.000 0.000 x1
Te: 0.500 0.500 0.500 x1
Mo: 0.500 0.500 0.000 x1

First-principles (PBE) data for a geometry-optimized LaCo2Ru structure, as listed in the Alexandria database.

Properties
Mass density in Mg/m³: 9.1
DFT formation energy in eV/atom: 0.714

Unit cell a=2.8946 b=2.8946 c=27.0842 alpha=90.00 beta=90.00 gamma=120.00
Space group R-3m (No. 166, hexagonal axes)
Asymmetric unit:
La: 0.0000 0.0000 0.0000 x3
Co: 0.0000 0.0000 0.2368 x6
Ru: 0.0000 0.0000 0.5000 x3

Question: The highest mass density belongs to which entry?
Answer: LaTl2Ir

Question: Look up the mass density of the first one.
Answer: 5.2 Mg/m³